Record 1
CsHf2F9 | PBE | optimized geometry

Cell: 3.3391 7.3743 7.3743 Å, 120.00 90.00 90.00°
Fractional positions:
F 0.0000 0.5000 0.5000
F 0.0000 0.0000 0.5000
F 0.5000 0.2227 0.7773
F 0.5000 0.5545 0.7773
Hf 0.0000 0.6667 0.3333
F 0.0000 0.5000 0.0000
F 0.5000 0.7773 0.5545
Hf 0.0000 0.3333 0.6667
F 0.5000 0.4455 0.2227
F 0.5000 0.2227 0.4455
Cs 0.0000 0.0000 0.0000
F 0.5000 0.7773 0.2227

Calculated values
Total magnetic moment ... 0.00 μB per formula unit
Energy ... -0.490 Ry/atom
SG ... No. 191

Record 2
RbRhS2 | PBE | optimized geometry

Cell: 4.8053 4.8053 4.8053 Å, 60.00 60.00 60.00°
Fractional positions:
S 0.2500 0.2500 0.2500
S 0.7500 0.7500 0.7500
Rb 0.0000 0.0000 0.0000
Rh 0.5000 0.5000 0.5000

Calculated values
Total magnetic moment ... 0.00 μB per formula unit
Energy ... -0.278 Ry/atom
SG ... No. 225

Record 3
Na2In2OsO6 | PBE | optimized geometry

Cell: 5.6261 5.6261 5.8039 Å, 98.94 98.94 118.97°
Fractional positions:
Na 0.1618 0.8382 0.0000
O 0.3668 0.0548 0.6955
Os 0.0000 0.0000 0.5000
O 0.7602 0.7602 0.6950
O 0.9452 0.6332 0.3045
Na 0.8382 0.1618 0.0000
In 0.3361 0.6639 0.5000
O 0.0548 0.3668 0.6955
O 0.6332 0.9452 0.3045
O 0.2398 0.2398 0.3050
In 0.6639 0.3361 0.5000

Calculated values
Total magnetic moment ... 2.00 μB per formula unit
Energy ... -0.429 Ry/atom
SG ... No. 12

Record 4
SrPmPdAu | PBE | optimized geometry

Cell: 4.0499 4.6407 6.0246 Å, 90.00 109.64 90.00°
Fractional positions:
Pd 0.4138 0.0000 0.8276
Pm 0.8665 0.5000 0.7329
Sr 0.1422 0.0000 0.2845
Au 0.5775 0.5000 0.1550

Calculated values
Total magnetic moment ... 0.00 μB per formula unit
Formation energy from the elements ... -0.7306 eV per atom
Energy ... -0.328 Ry/atom
SG ... No. 38
Relative energy among the computed polymorphs ... 0.000 eV per atom

Copy entry 4 word for word.
SrPmPdAu | PBE | optimized geometry

Cell: 4.0499 4.6407 6.0246 Å, 90.00 109.64 90.00°
Fractional positions:
Pd 0.4138 0.0000 0.8276
Pm 0.8665 0.5000 0.7329
Sr 0.1422 0.0000 0.2845
Au 0.5775 0.5000 0.1550

Calculated values
Total magnetic moment ... 0.00 μB per formula unit
Formation energy from the elements ... -0.7306 eV per atom
Energy ... -0.328 Ry/atom
SG ... No. 38
Relative energy among the computed polymorphs ... 0.000 eV per atom